Material: ZnFe2Te
Method: DFT, GGA-PBEsol
State: optimized geometry

Lattice parameters (Å, degrees): 3.0722 3.0722 23.8483 90.00 90.00 120.00
Space group R3m (No. 160, hexagonal axes)
Asymmetric unit:
Zn 0.0000 0.0000 0.0000 (multiplicity 3)
Fe 0.0000 0.0000 0.4757 (multiplicity 3)
Fe 0.0000 0.0000 0.7432 (multiplicity 3)
Te 0.0000 0.0000 0.2219 (multiplicity 3)

As for the mass density: 7.79 g cm⁻³. Its energy relative to the lowest polymorph listed for this composition is 39 kJ/mol of formula units. As for the formation energy from raw total energies: 0.40 eV per atom.